VASP calculation (PBE) on a relaxed structure of Nd3Er3MgS8.

Its symmetry is No. 166. The calculation puts the energy relative to the elements, uncorrected at -1965 meV per atom.

Lattice parameters (Å, degrees): 7.957 7.957 7.957 58.90 58.90 58.90
Atoms (fractional coordinates):
Nd (0.000, 0.500, 0.500)
Nd (0.500, 0.000, 0.500)
Nd (0.500, 0.500, 0.000)
Er (0.000, 0.000, 0.500)
Er (0.000, 0.500, 0.000)
Er (0.500, 0.000, 0.000)
Mg (0.500, 0.500, 0.500)
S (0.244, 0.244, 0.244)
S (0.249, 0.739, 0.739)
S (0.261, 0.261, 0.751)
S (0.261, 0.751, 0.261)
S (0.739, 0.249, 0.739)
S (0.739, 0.739, 0.249)
S (0.751, 0.261, 0.261)
S (0.756, 0.756, 0.756)